## Er7Ga5Au (PBE)

Data for a relaxed structure of Er7Ga5Au.

Cell lengths 7.7288, 7.7288, 7.7288 Å; angles 132.90, 101.14, 97.25 degrees
Last column: nearest neighbours and their distance in Å.
Fractional positions:
Er: 0.0000 0.0000 0.0000  6 Ga 3.03-3.11, 1 Au 3.10
Er: 0.0759 0.7694 0.3065  5 Ga 2.95-3.13, 1 Au 3.10
Er: 0.3861 0.3861 0.0000  4 Ga 3.12, 1 Au 3.18, 4 Er 3.39-3.45
Er: 0.4629 0.7694 0.6935  5 Ga 2.95-3.13, 1 Au 3.10
Er: 0.5355 0.0355 0.5000  4 Ga 2.89, 2 Er 3.08
Er: 0.6200 0.2894 0.3306  5 Ga 2.94-3.24, 1 Er 3.08
Er: 0.9588 0.2894 0.6694  5 Ga 2.94-3.24, 1 Er 3.08
Ga: 0.0366 0.5366 0.5000  4 Ga 2.92, 6 Er 3.02-3.11
Ga: 0.2836 0.2915 0.5243  2 Ga 2.89-2.92, 6 Er 2.89-3.13
Ga: 0.2836 0.7592 0.9921  2 Ga 2.89-2.92, 6 Er 2.89-3.13
Ga: 0.7672 0.2915 0.0079  2 Ga 2.89-2.92, 6 Er 2.89-3.13
Ga: 0.7672 0.7592 0.4757  2 Ga 2.89-2.92, 6 Er 2.89-3.13
Au: 0.6969 0.6969 0.0000  4 Er 3.10-3.18, 4 Ga 3.29

The calculation puts the energy relative to the elements at -5.19 eV/f.u. As for the crystal system: orthorhombic. Its density of states at the Fermi level is 0.591 states/eV per atom. For the calculated total energy, the calculation gives -55.5 eV/cell. As for the symmetry: Imm2, No. 44.